1.
Here is an optimized crystal structure of TlP2Rh from the Alexandria database. Energies are from PBE.

* final energy: -4.6453 eV/atom
* DFT formation energy: 47.2 kJ per mole of atoms
* E above lowest polymorph: 657 meV per atom
* crystal system: orthorhombic
* theoretical density: 8.728 g cm⁻³

Unit cell a=4.5918 b=4.5918 c=3.5086 alpha=90.00 beta=90.00 gamma=108.26
With the nearest neighbours (Å) after each atom.
Positions (direct):
Tl1 0.0000 0.0000 0.0000  2 Rh 2.69, 8 P 2.89
P1 0.0000 0.5000 0.5000  2 P 2.69, 4 Rh 2.89, 4 Tl 2.89
P2 0.5000 0.0000 0.5000  2 P 2.69, 4 Rh 2.89, 4 Tl 2.89
Rh1 0.5000 0.5000 0.0000  2 Tl 2.69, 8 P 2.89

---

2.
Here is an optimized crystal structure of HfCr3Sn from the Alexandria database. Energies are from PBE.

* final energy: -7.0202 eV/atom
* DFT formation energy: 149.1 kJ per mole of atoms
* E above lowest polymorph: 16 meV per atom
* crystal system: cubic
* theoretical density: 6.832 g cm⁻³

Unit cell a=4.7937 b=4.7937 c=4.7937 alpha=90.00 beta=90.00 gamma=90.00
With the nearest neighbours (Å) after each atom.
Positions (direct):
Hf1 0.0000 0.0000 0.0000  6 Cr 2.40
Cr1 0.0000 0.0000 0.5000  2 Hf 2.40
Cr2 0.0000 0.5000 0.0000  2 Hf 2.40
Cr3 0.5000 0.0000 0.0000  2 Hf 2.40
Sn1 0.5000 0.5000 0.5000  12 Cr 3.39

---

3.
Here is an optimized crystal structure of KCrOs2 from the Alexandria database. Energies are from PBE.

* final energy: -7.4810 eV/atom
* DFT formation energy: 78.5 kJ per mole of atoms
* E above lowest polymorph: 120 meV per atom
* crystal system: orthorhombic
* theoretical density: 11.947 g cm⁻³

Unit cell a=2.7009 b=2.7009 c=10.0080 alpha=90.00 beta=90.00 gamma=116.14
With the nearest neighbours (Å) after each atom.
Positions (direct):
K1 0.0000 0.0000 0.0000  6 K 2.70-2.86
Cr1 0.0000 0.0000 0.5000  4 Os 2.50, 4 Cr 2.70
Os1 0.5000 0.5000 0.2947  2 Cr 2.50, 4 Os 2.70
Os2 0.5000 0.5000 0.7053  2 Cr 2.50, 4 Os 2.70

---

4.
Here is an optimized crystal structure of BaLiTc2 from the Alexandria database. Energies are from PBE.

* final energy: -4.7500 eV/atom
* DFT formation energy: 134.3 kJ per mole of atoms
* E above lowest polymorph: 1020 meV per atom
* crystal system: cubic
* theoretical density: 7.589 g cm⁻³

Unit cell a=4.7220 b=4.7220 c=4.7220 alpha=60.00 beta=60.00 gamma=60.00
With the nearest neighbours (Å) after each atom.
Positions (direct):
Ba1 0.0000 0.0000 0.0000  8 Tc 2.89
Li1 0.5000 0.5000 0.5000  8 Tc 2.89
Tc1 0.2500 0.2500 0.2500  4 Li 2.89, 4 Ba 2.89
Tc2 0.7500 0.7500 0.7500  4 Li 2.89, 4 Ba 2.89

---

Please write out number 4 again, unchanged.
Here is an optimized crystal structure of BaLiTc2 from the Alexandria database. Energies are from PBE.

* final energy: -4.7500 eV/atom
* DFT formation energy: 134.3 kJ per mole of atoms
* E above lowest polymorph: 1020 meV per atom
* crystal system: cubic
* theoretical density: 7.589 g cm⁻³

Unit cell a=4.7220 b=4.7220 c=4.7220 alpha=60.00 beta=60.00 gamma=60.00
With the nearest neighbours (Å) after each atom.
Positions (direct):
Ba1 0.0000 0.0000 0.0000  8 Tc 2.89
Li1 0.5000 0.5000 0.5000  8 Tc 2.89
Tc1 0.2500 0.2500 0.2500  4 Li 2.89, 4 Ba 2.89
Tc2 0.7500 0.7500 0.7500  4 Li 2.89, 4 Ba 2.89